No. 1
This record from the Alexandria database describes La3BiRu after structural relaxation. The functional is PBE.

## Properties
- Space-group type: P2_1/m
- Distance to the lowest polymorph of the same formula: 67.0 meV per atom
- Formation energy from the elements: -522.3 meV per atom
- DFT total energy: -6.11 eV per atom
- Fermi-level density of states: 0.7204 states/eV per atom

a = 6.059 Å, b = 7.190 Å, c = 7.390 Å
α = 90.00°, β = 75.99°, γ = 90.00°
Sites, in units of the cell vectors:
1 Ru 0.669 0.250 0.986
2 La 0.885 0.750 0.137
3 Bi 0.849 0.250 0.323
4 La 0.352 0.483 0.280
5 La 0.115 0.250 0.863
6 La 0.648 0.517 0.720
7 Bi 0.151 0.750 0.677
8 La 0.352 0.017 0.280
9 Ru 0.331 0.750 0.014
10 La 0.648 0.983 0.720

No. 2
This record from the Alexandria database describes La2BiRu after structural relaxation. The functional is PBE.

## Properties
- Space-group type: I-42d
- Formation energy from the elements: -391.2 meV per atom
- DFT total energy: -6.14 eV per atom
- Fermi-level density of states: 0.8723 states/eV per atom

a = 8.323 Å, b = 8.323 Å, c = 6.759 Å
α = 52.00°, β = 52.00°, γ = 90.00°
Sites, in units of the cell vectors:
1 La 0.557 0.125 0.250
2 La 0.193 0.625 0.250
3 La 0.375 0.443 0.750
4 Bi 0.750 0.250 0.500
5 Bi 0.000 0.000 0.000
6 La 0.875 0.807 0.750
7 Ru 0.250 0.750 0.500
8 Ru 0.500 0.500 0.000

No. 3
This record from the Alexandria database describes La4Bi2Ru after structural relaxation. The functional is PBE.

## Properties
- Space-group type: I4/mmm
- Distance to the lowest polymorph of the same formula: 4.2 meV per atom
- Formation energy from the elements: -655.4 meV per atom
- DFT total energy: -5.91 eV per atom
- Fermi-level density of states: 0.9273 states/eV per atom

a = 5.222 Å, b = 5.222 Å, c = 9.553 Å
α = 74.14°, β = 74.14°, γ = 90.00°
Sites, in units of the cell vectors:
1 Bi 0.360 0.360 0.281
2 La 0.000 0.500 0.000
3 La 0.172 0.172 0.657
4 La 0.828 0.828 0.343
5 Ru 0.000 0.000 0.000
6 La 0.500 0.000 0.000
7 Bi 0.640 0.640 0.719

No. 4
This record from the Alexandria database describes La3BiRu after structural relaxation. The functional is PBE.

## Properties
- Space-group type: P-1
- Distance to the lowest polymorph of the same formula: 37.5 meV per atom
- Formation energy from the elements: -551.8 meV per atom
- DFT total energy: -6.14 eV per atom
- Fermi-level density of states: 0.8040 states/eV per atom

a = 4.393 Å, b = 8.998 Å, c = 8.554 Å
α = 96.07°, β = 104.93°, γ = 90.01°
Sites, in units of the cell vectors:
1 Ru 0.010 0.000 0.517
2 La 0.821 0.925 0.145
3 Bi 0.590 0.492 0.680
4 Ru 0.390 0.800 0.283
5 La 0.579 0.874 0.655
6 La 0.147 0.233 0.792
7 Bi 0.810 0.308 0.120
8 La 0.448 0.183 0.396
9 La 0.952 0.617 0.404
10 La 0.253 0.567 0.008